The following is a PBE+U calculation of a relaxed KCaEuWO6 crystal, from Alexandria via LeMat-Bulk.

Geometry as CIF:
```
data_KCaEuWO6
_chemical_formula_sum 'K4 Ca4 Eu4 W4 O24'
_cell_length_a 8.446
_cell_length_b 8.446
_cell_length_c 8.446
_cell_angle_alpha 90.00
_cell_angle_beta 90.00
_cell_angle_gamma 90.00
_symmetry_space_group_name_H-M 'F -4 3 m'
_symmetry_Int_Tables_number 216
_symmetry_space_group_name_Hall 'F -4 2 3'
loop_
_atom_site_label
_atom_site_fract_x
_atom_site_fract_y
_atom_site_fract_z
K1 0.000 0.000 0.000
Ca1 0.000 0.000 0.500
Eu1 0.250 0.250 0.250
W1 0.250 0.250 0.750
O1 0.019 0.250 0.750
```

Properties
- Calculated total energy: -7.37 eV/atom
- Calculated volume: 602.4 Å³/cell
- N(E_F): 39.59 states/eV/cell